[1]
Ti5CrPd2Rh2: optimized geometry, GGA-PBE.

The structure belongs to space group P4/mbm (No. 127); the cell edges are 10.391, 10.391 and 2.990 Å and the angles 90.00°, 90.00° and 90.00°. The distinct sites, in fractional coordinates, are Ti at (0.000, 0.500, 0.000), Ti at (0.110, 0.164, 0.000), Cr at (0.000, 0.000, 0.500), Pd at (0.159, 0.659, 0.500) and Rh at (0.139, 0.361, 0.500).

The calculation puts the formation energy from the elements at -0.272 eV/atom. The calculation puts the raw total energy at -153.80 eV per cell.

[2]
AcSmPuIn: optimized geometry, GGA-PBE.

The structure belongs to space group F-43m (No. 216); the cell edges are 7.949, 7.949 and 7.949 Å and the angles 90.00°, 90.00° and 90.00°. The distinct sites, in fractional coordinates, are Ac at (0.000, 0.000, 0.000), Sm at (0.250, 0.250, 0.250), Pu at (0.250, 0.250, 0.750) and In at (0.000, 0.000, 0.500).

The calculation puts the formation energy from the elements at 0.065 eV/atom. The calculation puts the raw total energy at -102.54 eV per cell.